ZnPt2F8 | PBE | optimized geometry

Unit cell a=4.029 b=7.222 c=5.729 alpha=111.13 beta=106.79 gamma=91.78
Last column: magnetic moment on the atom in μB.
Atoms (fractional coordinates):
1 F 0.578 0.865 0.102  0.03
2 F 0.422 0.135 0.898  0.03
3 F 0.118 0.678 0.217  0.00
4 Zn 0.000 0.000 0.000  0.00
5 Pt 0.622 0.639 0.231  0.13
6 F 0.882 0.322 0.783  0.00
7 F 0.185 0.136 0.371  0.01
8 Pt 0.378 0.361 0.769  0.13
9 F 0.319 0.578 0.650  0.05
10 F 0.815 0.864 0.629  0.01
11 F 0.681 0.422 0.350  0.05

CaCr2Cl | PBE | optimized geometry

Results
energy above the most stable polymorph in this dataset	110	meV/atom

Unit cell a=3.515 b=3.514 c=6.799 alpha=90.00 beta=90.00 gamma=90.00
Last column: magnetic moment on the atom in μB.
Atoms (fractional coordinates):
1 Ca 0.000 0.000 0.542  0.07
2 Cl 0.500 0.500 0.727  0.02
3 Cr 0.000 0.000 0.127  3.22
4 Cr 0.500 0.500 0.104  -2.86

no.,formation energy (no corrections) (eV per atom)
1,-1.3478
2,-0.0405